First-principles (PBE-GGA) data for an optimized crystal structure of ScNb3Cu, as listed in Alexandria.

## Properties
calculated total energy: -35.99 eV per cell
symmetry: No. 221
ΔH_f (0 K): 90 kJ/mol of atoms

Cell: 4.7325 4.7325 4.7325 Å, 90.00 90.00 90.00°
Element x y z (fractional)
Sc: 0.5000 0.5000 0.5000
Nb: 0.0000 0.5000 0.0000
Nb: 0.0000 0.0000 0.5000
Nb: 0.5000 0.0000 0.0000
Cu: 0.0000 0.0000 0.0000

***

First-principles (PBE-GGA) data for an optimized crystal structure of ScCd2As, as listed in Alexandria.

## Properties
calculated total energy: -14.16 eV per cell
symmetry: No. 8
ΔH_f (0 K): -33 kJ/mol of atoms

Cell: 5.0794 5.0794 5.5947 Å, 66.83 66.83 43.47°
Element x y z (fractional)
As: 0.7446 0.7446 0.6272
Cd: 0.0344 0.0344 0.0357
Cd: 0.2631 0.2631 0.2293
Sc: 0.4579 0.4579 0.6078

***

First-principles (PBE-GGA) data for an optimized crystal structure of Tl2FeSe, as listed in Alexandria.

## Properties
calculated total energy: -16.23 eV per cell
energy relative to the elements, uncorrected: 2.58 kcal/mol of atoms
symmetry: No. 38

Cell: 3.6895 4.4423 6.2592 Å, 69.17 90.00 90.00°
Each line ends with the local moment (μB).
Element x y z (fractional)
Fe: 0.0000 0.7079 0.4589  2.76
Se: 0.5000 0.5681 0.7391  0.04
Tl: 0.0000 0.9560 0.9631  -0.01
Tl: 0.5000 0.2681 0.3389  -0.03

***

First-principles (PBE-GGA) data for an optimized crystal structure of UTe2Pd, as listed in Alexandria.

## Properties
calculated total energy: -24.21 eV per cell
energy relative to the elements, uncorrected: -8.31 kcal/mol of atoms
symmetry: No. 166

Cell: 4.9462 4.9462 5.3768 Å, 62.62 62.62 60.00°
Each line ends with the local moment (μB).
Element x y z (fractional)
Te: 0.7382 0.7382 0.7854  -0.09
Te: 0.2618 0.2618 0.2146  -0.09
U: 0.5000 0.5000 0.5000  2.18
Pd: 0.0000 0.0000 0.0000  -0.09

***

First-principles (PBE-GGA) data for an optimized crystal structure of Rb2Np3Te6, as listed in Alexandria.

## Properties
calculated total energy: -68.70 eV per cell
energy relative to the elements, uncorrected: -19.05 kcal/mol of atoms
symmetry: No. 12

Cell: 7.7606 7.7609 9.1136 Å, 81.83 73.49 60.00°
Each line ends with the local moment (μB).
Element x y z (fractional)
Rb: 0.1666 0.6668 0.5000  0.00
Rb: 0.8334 0.3332 0.5000  0.00
Np: 0.0000 0.0000 0.0000  3.83
Np: 0.3330 0.3341 0.0000  3.83
Np: 0.6670 0.6659 0.0000  3.83
Te: 0.3990 0.6682 0.8030  -0.11
Te: 0.7307 0.0000 0.8035  -0.11
Te: 0.0672 0.3318 0.8030  -0.11
Te: 0.2693 0.0000 0.1965  -0.11
Te: 0.6010 0.3318 0.1970  -0.11
Te: 0.9328 0.6682 0.1970  -0.11

***

First-principles (PBE-GGA) data for an optimized crystal structure of Ac8Te3Pb4, as listed in Alexandria.

## Properties
calculated total energy: -70.10 eV per cell
energy relative to the elements, uncorrected: -19.95 kcal/mol of atoms
symmetry: No. 12

Cell: 9.6970 9.5963 9.5963 Å, 90.14 120.24 120.24°
Element x y z (fractional)
Ac: 0.4869 0.2395 0.2395
Ac: 0.0000 0.7540 0.2460
Ac: 0.9964 0.2464 0.2464
Ac: 0.5000 0.7520 0.2480
Ac: 0.5000 0.2480 0.7520
Ac: 0.0036 0.7536 0.7536
Ac: 0.0000 0.2460 0.7540
Ac: 0.5131 0.7605 0.7605
Te: 0.5000 0.5000 0.0000
Te: 0.5000 0.0000 0.5000
Te: 0.5000 0.5000 0.5000
Pb: 0.5000 0.0000 0.0000
Pb: 0.0000 0.5000 0.0000
Pb: 0.0000 0.0000 0.0000
Pb: 0.0000 0.0000 0.5000

***

Number 1: total magnetization 0.00 μB per formula unit. Number 2: total magnetization 0.00 μB per formula unit. Number 3: total magnetization 2.75 μB per formula unit. Number 4: total magnetization 2.03 μB per formula unit. Number 5: total magnetization 11.00 μB per formula unit. Number 6: total magnetization 1.20 μB per formula unit.